# RbNa7Tl2

Crystalline RbNa7Tl2 at its relaxed geometry (PBE, Alexandria via LeMat-Bulk).

Summary:
The raw total energy is -14.4 eV for the cell shown. The volume comes out at 444.9 Å³/cell. The calculation puts the calculated formation energy at 0.05 eV/atom. The density of states at the Fermi level is 0.560 states/eV per atom.

Lattice parameters (Å, degrees): 8.838 8.838 5.840 90.00 90.00 102.77
Element x y z (fractional)
Rb 0.000 0.000 0.000
Na 0.108 0.370 0.500
Na 0.337 0.663 0.000
Na 0.370 0.108 0.500
Na 0.500 0.500 0.500
Na 0.630 0.892 0.500
Na 0.663 0.337 0.000
Na 0.892 0.630 0.500
Tl 0.254 0.746 0.500
Tl 0.746 0.254 0.500